Here is a relaxed structure of Sm3Dy3In from Alexandria. Energies are from PBE.

Output
The magnetization comes out at 0.000 μB per formula unit. Its excess energy over the best structure of this formula in the dataset is 0 meV per atom. The formation energy comes out at -0.111 eV/atom. Its space-group type is P6_3/m (176).

a = 9.4582 Å, b = 9.4582 Å, c = 5.6002 Å
α = 90.00°, β = 90.00°, γ = 120.00°
With the nearest neighbours (Å) after each atom.
Sites, in units of the cell vectors:
Sm  0.1060  0.6288  0.2500  3 In 3.44-3.67, 4 Sm 3.46-3.59, 5 Dy 3.48-3.73
Sm  0.3712  0.4772  0.2500  3 In 3.44-3.67, 4 Sm 3.46-3.59, 5 Dy 3.48-3.73
Sm  0.4772  0.1060  0.7500  3 In 3.44-3.67, 4 Sm 3.46-3.59, 5 Dy 3.48-3.73
Sm  0.5228  0.8940  0.2500  3 In 3.44-3.67, 4 Sm 3.46-3.59, 5 Dy 3.48-3.73
Sm  0.6288  0.5228  0.7500  3 In 3.44-3.67, 4 Sm 3.46-3.59, 5 Dy 3.48-3.73
Sm  0.8940  0.3712  0.7500  3 In 3.44-3.67, 4 Sm 3.46-3.59, 5 Dy 3.48-3.73
Dy  0.0613  0.8219  0.7500  6 Dy 3.46-3.53, 5 Sm 3.48-3.73, 1 In 3.54
Dy  0.1781  0.2394  0.7500  6 Dy 3.46-3.53, 5 Sm 3.48-3.73, 1 In 3.54
Dy  0.2394  0.0613  0.2500  6 Dy 3.46-3.53, 5 Sm 3.48-3.73, 1 In 3.54
Dy  0.7606  0.9387  0.7500  6 Dy 3.46-3.53, 5 Sm 3.48-3.73, 1 In 3.54
Dy  0.8219  0.7606  0.2500  6 Dy 3.46-3.53, 5 Sm 3.48-3.73, 1 In 3.54
Dy  0.9387  0.1781  0.2500  6 Dy 3.46-3.53, 5 Sm 3.48-3.73, 1 In 3.54
In  0.3333  0.6667  0.7500  9 Sm 3.44-3.67, 3 Dy 3.54
In  0.6667  0.3333  0.2500  9 Sm 3.44-3.67, 3 Dy 3.54